[1]
A geometry-optimized KTl2Tc structure, computed with PBE.

Cell and atoms, written as extended XYZ:
```
8
Lattice="-3.155 3.155 8.453 3.155 -3.155 8.453 3.155 3.155 -8.453" Properties=species:S:1:pos:R:3 pbc="T T T"
K 0.000 0.000 0.000
K 0.000 3.155 4.226
Tl 1.578 -0.367 6.340
Tl 2.789 1.578 2.113
Tl 1.578 3.522 -2.113
Tl 0.367 1.578 10.566
Tc 3.155 0.000 4.226
Tc 0.000 0.000 8.453
```

---

[2]
A geometry-optimized KTl2Tc structure, computed with PBE.

Cell and atoms, written as extended XYZ:
```
4
Lattice="1.651 0.953 10.918 -1.651 0.953 10.918 0.000 -1.907 10.918" Properties=species:S:1:pos:R:3 pbc="T T T"
K 0.000 0.000 0.000
Tl 0.000 0.000 7.728
Tl 0.000 0.000 15.861
Tc 0.000 0.000 24.611
```

---

[3]
A geometry-optimized KTl2Tc structure, computed with PBE.

Cell and atoms, written as extended XYZ:
```
4
Lattice="3.851 0.000 0.000 0.000 3.851 0.000 0.000 0.000 8.342" Properties=species:S:1:pos:R:3 pbc="T T T"
K 0.000 0.000 0.000
Tl 0.000 0.000 3.310
Tl 1.925 1.925 5.653
Tc 1.925 1.925 2.985
```

---

[4]
A geometry-optimized KV3Tc structure, computed with PBE.

Cell and atoms, written as extended XYZ:
```
5
Lattice="4.858 0.000 0.000 0.000 4.858 0.000 0.000 0.000 4.858" Properties=species:S:1:pos:R:3 pbc="T T T"
K 0.000 0.000 0.000
V 0.000 2.429 2.429
V 2.429 0.000 2.429
V 2.429 2.429 0.000
Tc 2.429 2.429 2.429
```

---

[5]
A geometry-optimized KVTc2 structure, computed with PBE.

Cell and atoms, written as extended XYZ:
```
4
Lattice="0.000 3.202 3.202 3.202 0.000 3.202 3.202 3.202 0.000" Properties=species:S:1:pos:R:3 pbc="T T T"
K 0.000 0.000 0.000
V 3.202 3.202 3.202
Tc 1.601 1.601 1.601
Tc 4.803 4.803 4.803
```

---

[6]
A geometry-optimized KVTc3 structure, computed with PBE.

Cell and atoms, written as extended XYZ:
```
5
Lattice="4.658 0.000 0.000 0.000 4.658 0.000 0.000 0.000 4.658" Properties=species:S:1:pos:R:3 pbc="T T T"
K 0.000 0.000 0.000
V 2.329 2.329 2.329
Tc 0.000 2.329 2.329
Tc 2.329 0.000 2.329
Tc 2.329 2.329 0.000
```

---

[7]
A geometry-optimized KVTc2 structure, computed with PBE.

Cell and atoms, written as extended XYZ:
```
8
Lattice="-2.439 2.439 8.339 2.439 -2.439 8.339 2.439 2.439 -8.339" Properties=species:S:1:pos:R:3 pbc="T T T"
K 0.000 0.000 0.000
K 0.000 2.439 4.169
V 2.439 0.000 4.169
V 0.000 0.000 8.339
Tc 1.220 2.235 -2.085
Tc 2.643 1.220 2.085
Tc 1.220 0.204 6.254
Tc -0.204 1.220 10.424
```

---

[8]
A geometry-optimized KV2Tc structure, computed with PBE.

Cell and atoms, written as extended XYZ:
```
4
Lattice="0.000 3.304 3.304 3.304 0.000 3.304 3.304 3.304 0.000" Properties=species:S:1:pos:R:3 pbc="T T T"
K 0.000 0.000 0.000
V 1.652 1.652 1.652
V 4.955 4.955 4.955
Tc 3.304 3.304 3.304
```

---

[9]
A geometry-optimized KV3Tc structure, computed with PBE.

Cell and atoms, written as extended XYZ:
```
5
Lattice="4.245 0.000 0.000 0.000 4.245 0.000 0.000 0.000 4.245" Properties=species:S:1:pos:R:3 pbc="T T T"
K 0.000 0.000 0.000
V 0.000 0.000 2.122
V 0.000 2.122 0.000
V 2.122 0.000 0.000
Tc 2.122 2.122 2.122
```

---

[10]
A geometry-optimized KV2Tc structure, computed with PBE.

Cell and atoms, written as extended XYZ:
```
8
Lattice="-2.859 2.859 7.421 2.859 -2.859 7.421 2.859 2.859 -7.421" Properties=species:S:1:pos:R:3 pbc="T T T"
K 2.859 1.429 1.855
K 0.000 1.429 5.566
V 0.000 0.000 0.000
V 1.429 1.429 -3.711
V 1.429 -1.429 3.711
V 0.000 2.859 0.000
Tc 2.859 -1.429 5.566
Tc 0.000 4.288 1.855
```

---

[11]
A geometry-optimized K2TcW structure, computed with PBE.

Cell and atoms, written as extended XYZ:
```
4
Lattice="3.786 0.000 0.000 0.000 3.786 0.000 0.000 0.000 6.047" Properties=species:S:1:pos:R:3 pbc="T T T"
K 0.000 1.893 0.000
K 1.893 0.000 0.000
Tc 0.000 0.000 3.024
W 1.893 1.893 3.024
```

---

[12]
A geometry-optimized K2TcW structure, computed with PBE.

Cell and atoms, written as extended XYZ:
```
4
Lattice="0.000 3.942 3.942 3.942 0.000 3.942 3.942 3.942 0.000" Properties=species:S:1:pos:R:3 pbc="T T T"
K 1.971 1.971 1.971
K 5.914 5.914 5.914
Tc 0.000 0.000 0.000
W 3.942 3.942 3.942
```

---

Number 1: excess energy over the best structure of this formula in the dataset 284 meV per atom, energy of formation 0.755 eV per atom. Number 2: excess energy over the best structure of this formula in the dataset 327 meV per atom, energy of formation 0.798 eV per atom. Number 3: excess energy over the best structure of this formula in the dataset 131 meV per atom, energy of formation 0.602 eV per atom. Number 4: excess energy over the best structure of this formula in the dataset 0 meV per atom, energy of formation 1.173 eV per atom. Number 5: excess energy over the best structure of this formula in the dataset 0 meV per atom, energy of formation 1.412 eV per atom. Number 6: excess energy over the best structure of this formula in the dataset 0 meV per atom, energy of formation 1.452 eV per atom. Number 7: excess energy over the best structure of this formula in the dataset 72 meV per atom, energy of formation 1.484 eV per atom. Number 8: excess energy over the best structure of this formula in the dataset 0 meV per atom, energy of formation 1.308 eV per atom. Number 9: excess energy over the best structure of this formula in the dataset 1323 meV per atom, energy of formation 2.496 eV per atom. Number 10: excess energy over the best structure of this formula in the dataset 140 meV per atom, energy of formation 1.448 eV per atom. Number 11: excess energy over the best structure of this formula in the dataset 560 meV per atom, energy of formation 1.496 eV per atom. Number 12: excess energy over the best structure of this formula in the dataset 1562 meV per atom, energy of formation 2.498 eV per atom.